Material: Hf2Pt2O5
Method: DFT, PBE
State: relaxed

Results
excess energy over the best structure of this formula in the dataset: 0.000 eV per formula unit
volume: 13.323 Å³ per atom
DFT total energy: -7.939 eV/atom
space group: P4/mmm (123)

Cell and atoms, written as CIF:
```
data_Hf2Pt2O5
_chemical_formula_sum 'Hf2 Pt2 O5'
_cell_length_a 3.7565
_cell_length_b 3.7565
_cell_length_c 8.4974
_cell_angle_alpha 90.00
_cell_angle_beta 90.00
_cell_angle_gamma 90.00
_space_group_name_H-M_alt 'P 1'
_space_group_IT_number 1
_space_group_name_Hall 'P 1'
loop_
_atom_site_label
_atom_site_type_symbol
_atom_site_fract_x
_atom_site_fract_y
_atom_site_fract_z
_atom_site_occupancy
Hf1 Hf 0.0000 0.0000 0.2344 1
Hf2 Hf 0.0000 0.0000 0.7656 1
Pt1 Pt 0.5000 0.5000 0.0000 1
Pt2 Pt 0.5000 0.5000 0.5000 1
O1 O 0.0000 0.0000 0.0000 1
O2 O 0.0000 0.5000 0.3327 1
O3 O 0.0000 0.5000 0.6673 1
O4 O 0.5000 0.0000 0.3327 1
O5 O 0.5000 0.0000 0.6673 1
```

=====

Material: BaSrCu2
Method: DFT, PBE
State: relaxed

Results
excess energy over the best structure of this formula in the dataset: 0.000 eV per formula unit
volume: 32.132 Å³ per atom
DFT total energy: -2.843 eV/atom
space group: P6_3mc (186)

Cell and atoms, written as CIF:
```
data_BaSrCu2
_chemical_formula_sum 'Ba2 Sr2 Cu4'
_cell_length_a 4.3615
_cell_length_b 4.3615
_cell_length_c 15.6031
_cell_angle_alpha 90.00
_cell_angle_beta 90.00
_cell_angle_gamma 120.00
_space_group_name_H-M_alt 'P 1'
_space_group_IT_number 1
_space_group_name_Hall 'P 1'
loop_
_atom_site_label
_atom_site_type_symbol
_atom_site_fract_x
_atom_site_fract_y
_atom_site_fract_z
_atom_site_occupancy
Ba1 Ba 0.3333 0.6667 0.0000 1
Ba2 Ba 0.6667 0.3333 0.5000 1
Sr1 Sr 0.3333 0.6667 0.7383 1
Sr2 Sr 0.6667 0.3333 0.2383 1
Cu1 Cu 0.0000 0.0000 0.3637 1
Cu2 Cu 0.0000 0.0000 0.8637 1
Cu3 Cu 0.3333 0.6667 0.3637 1
Cu4 Cu 0.6667 0.3333 0.8637 1
```

=====

Material: Pr
Method: DFT, PBE
State: relaxed

Results
excess energy over the best structure of this formula in the dataset: 0.560 eV per formula unit
volume: 36.061 Å³ per atom
DFT total energy: -4.215 eV/atom
space group: P3_121 (152)
formation energy from the elements: 0.560 eV per atom

Cell and atoms, written as CIF:
```
data_Pr
_chemical_formula_sum 'Pr3'
_cell_length_a 4.4310
_cell_length_b 4.4310
_cell_length_c 6.3625
_cell_angle_alpha 90.00
_cell_angle_beta 90.00
_cell_angle_gamma 120.00
_space_group_name_H-M_alt 'P 1'
_space_group_IT_number 1
_space_group_name_Hall 'P 1'
loop_
_atom_site_label
_atom_site_type_symbol
_atom_site_fract_x
_atom_site_fract_y
_atom_site_fract_z
_atom_site_occupancy
Pr1 Pr 0.0000 0.3285 0.1667 1
Pr2 Pr 0.3285 0.0000 0.8333 1
Pr3 Pr 0.6715 0.6715 0.5000 1
```

=====

Material: SnTePtO
Method: DFT, PBE
State: relaxed

Results
excess energy over the best structure of this formula in the dataset: 0.965 eV per formula unit
volume: 21.466 Å³ per atom
DFT total energy: -4.927 eV/atom
space group: Pbca (61)

Cell and atoms, written as CIF:
```
data_SnTePtO
_chemical_formula_sum 'Sn8 Te8 Pt8 O8'
_cell_length_a 6.9351
_cell_length_b 11.1435
_cell_length_c 8.8886
_cell_angle_alpha 90.00
_cell_angle_beta 90.00
_cell_angle_gamma 90.00
_space_group_name_H-M_alt 'P 1'
_space_group_IT_number 1
_space_group_name_Hall 'P 1'
loop_
_atom_site_label
_atom_site_type_symbol
_atom_site_fract_x
_atom_site_fract_y
_atom_site_fract_z
_atom_site_occupancy
Sn1 Sn 0.2497 0.1596 0.0107 1
Sn2 Sn 0.2497 0.3404 0.5107 1
Sn3 Sn 0.2503 0.6596 0.0107 1
Sn4 Sn 0.2503 0.8404 0.5107 1
Sn5 Sn 0.7497 0.1596 0.4893 1
Sn6 Sn 0.7497 0.3404 0.9893 1
Sn7 Sn 0.7503 0.6596 0.4893 1
Sn8 Sn 0.7503 0.8404 0.9893 1
Te1 Te 0.0033 0.0700 0.7482 1
Te2 Te 0.0033 0.4300 0.2482 1
Te3 Te 0.4967 0.5700 0.7482 1
Te4 Te 0.4967 0.9300 0.2482 1
Te5 Te 0.5033 0.0700 0.7518 1
Te6 Te 0.5033 0.4300 0.2518 1
Te7 Te 0.9967 0.5700 0.7518 1
Te8 Te 0.9967 0.9300 0.2518 1
Pt1 Pt 0.0000 0.1797 0.2498 1
Pt2 Pt 0.0000 0.3203 0.7498 1
Pt3 Pt 0.0000 0.6797 0.2502 1
Pt4 Pt 0.0000 0.8203 0.7502 1
Pt5 Pt 0.5000 0.1797 0.2502 1
Pt6 Pt 0.5000 0.3203 0.7502 1
Pt7 Pt 0.5000 0.6797 0.2498 1
Pt8 Pt 0.5000 0.8203 0.7498 1
O1 O 0.2498 0.1785 0.3801 1
O2 O 0.2498 0.3215 0.8801 1
O3 O 0.2502 0.6785 0.3801 1
O4 O 0.2502 0.8215 0.8801 1
O5 O 0.7498 0.1785 0.1199 1
O6 O 0.7498 0.3215 0.6199 1
O7 O 0.7502 0.6785 0.1199 1
O8 O 0.7502 0.8215 0.6199 1
```

=====

Material: HgPd
Method: DFT, PBE
State: relaxed

Results
volume: 18.493 Å³ per atom
DFT total energy: -2.811 eV/atom
space group: P-6m2 (187)
formation energy from the elements: -0.075 eV per atom

Cell and atoms, written as CIF:
```
data_HgPd
_chemical_formula_sum 'Hg1 Pd1'
_cell_length_a 3.1048
_cell_length_b 3.1048
_cell_length_c 4.4303
_cell_angle_alpha 90.00
_cell_angle_beta 90.00
_cell_angle_gamma 120.00
_space_group_name_H-M_alt 'P 1'
_space_group_IT_number 1
_space_group_name_Hall 'P 1'
loop_
_atom_site_label
_atom_site_type_symbol
_atom_site_fract_x
_atom_site_fract_y
_atom_site_fract_z
_atom_site_occupancy
Hg1 Hg 0.0000 0.0000 0.0000 1
Pd1 Pd 0.6667 0.3333 0.5000 1
```

=====

Material: Er3Zn3CuIr2
Method: DFT, PBE
State: relaxed

Results
volume: 18.576 Å³ per atom
DFT total energy: -4.939 eV/atom
space group: P-62m (189)
formation energy from the elements: -0.616 eV per atom

Cell and atoms, written as CIF:
```
data_Er3Zn3CuIr2
_chemical_formula_sum 'Er3 Zn3 Cu1 Ir2'
_cell_length_a 7.1409
_cell_length_b 7.1409
_cell_length_c 3.7853
_cell_angle_alpha 90.00
_cell_angle_beta 90.00
_cell_angle_gamma 120.00
_space_group_name_H-M_alt 'P 1'
_space_group_IT_number 1
_space_group_name_Hall 'P 1'
loop_
_atom_site_label
_atom_site_type_symbol
_atom_site_fract_x
_atom_site_fract_y
_atom_site_fract_z
_atom_site_occupancy
Er1 Er 0.0000 0.4110 0.0000 1
Er2 Er 0.4110 0.0000 0.0000 1
Er3 Er 0.5890 0.5890 0.0000 1
Zn1 Zn 0.0000 0.7529 0.5000 1
Zn2 Zn 0.2471 0.2471 0.5000 1
Zn3 Zn 0.7529 0.0000 0.5000 1
Cu1 Cu 0.0000 0.0000 0.0000 1
Ir1 Ir 0.3333 0.6667 0.5000 1
Ir2 Ir 0.6667 0.3333 0.5000 1
```

=====

| no. | density (g/cm³) |
| --- | --- |
| 1 | 11.45 |
| 2 | 4.55 |
| 3 | 6.49 |
| 4 | 8.85 |
| 5 | 13.78 |
| 6 | 11.38 |